(1)
Sr2La2TlNi2O9 | SCAN | single point on PBEsol structure

Cell and atoms, written as POSCAR:
```
Sr2La2TlNi2O9
1.0
0.000 14.831 2.670
2.659 0.000 2.670
2.659 14.831 0.000
Sr La Tl Ni O
2 2 1 2 9
Direct
0.084 0.916 0.084
0.916 0.084 0.916
0.203 0.798 0.202
0.798 0.203 0.797
0.482 0.482 0.518
0.357 0.644 0.356
0.644 0.357 0.643
0.033 0.033 0.967
0.149 0.352 0.148
0.284 0.718 0.282
0.352 0.149 0.352
0.425 0.581 0.419
0.581 0.425 0.575
0.648 0.852 0.648
0.718 0.284 0.716
0.852 0.648 0.851
```

Summary:
* ρ: 7.25 g/cm³
* DOS(E_F): 1.79 states/eV per cell
* space group: Fmm2 (42)
* formation energy (no corrections): -3788 kJ/mol of formula units

(2)
LaNiOs | SCAN | single point on PBEsol structure

Cell and atoms, written as POSCAR:
```
LaNiOs
1.0
3.343 0.000 0.000
0.000 3.343 0.000
0.000 0.000 9.850
La Ni Os
2 2 2
Direct
0.000 0.000 0.000
0.500 0.500 0.500
0.000 0.000 0.715
0.500 0.500 0.215
0.000 0.000 0.286
0.500 0.500 0.786
```

Summary:
* ρ: 11.70 g/cm³
* DOS(E_F): 7.47 states/eV per cell
* space group: I4mm (107)
* energy of formation from the pure elements: 0.21 eV/atom

(3)
LaNiOs | SCAN | single point on PBEsol structure

Cell and atoms, written as POSCAR:
```
LaNiOs
1.0
5.053 0.000 0.000
0.000 5.374 0.000
0.000 0.000 7.670
La Ni Os
4 4 4
Direct
0.000 0.250 0.122
0.000 0.750 0.878
0.500 0.250 0.378
0.500 0.750 0.622
0.000 0.000 0.500
0.000 0.500 0.500
0.500 0.000 0.000
0.500 0.500 0.000
0.250 0.250 0.750
0.250 0.750 0.250
0.750 0.250 0.750
0.750 0.750 0.250
```

Summary:
* ρ: 12.37 g/cm³
* DOS(E_F): 8.70 states/eV per cell
* space group: Imma (74)
* energy of formation from the pure elements: -0.26 eV/atom

(4)
La2NiOs | SCAN | single point on PBEsol structure

Cell and atoms, written as POSCAR:
```
La2NiOs
1.0
4.137 0.000 0.000
0.000 4.053 0.000
0.000 0.000 10.767
La Ni Os
4 2 2
Direct
0.000 0.000 0.000
0.000 0.500 0.500
0.500 0.000 0.285
0.500 0.500 0.785
0.000 0.000 0.707
0.000 0.500 0.207
0.500 0.000 0.577
0.500 0.500 0.077
```

Summary:
* ρ: 9.69 g/cm³
* DOS(E_F): 4.00 states/eV per cell
* space group: Amm2 (38)
* energy of formation from the pure elements: -0.19 eV/atom

(5)
LaNi2P2 | SCAN | single point on PBEsol structure

Cell and atoms, written as POSCAR:
```
LaNi2P2
1.0
3.960 0.000 0.000
0.000 3.960 0.000
0.000 0.000 9.490
La Ni P
2 4 4
Direct
0.000 0.000 0.000
0.500 0.500 0.500
0.000 0.500 0.250
0.000 0.500 0.750
0.500 0.000 0.250
0.500 0.000 0.750
0.000 0.000 0.370
0.000 0.000 0.630
0.500 0.500 0.130
0.500 0.500 0.870
```

Summary:
* ρ: 7.10 g/cm³
* DOS(E_F): 3.77 states/eV per cell
* space group: I4/mmm (139)
* energy of formation from the pure elements: -1.03 eV/atom

(6)
LaNi5P3 | SCAN | single point on PBEsol structure

Cell and atoms, written as POSCAR:
```
LaNi5P3
1.0
1.795 -5.781 0.000
1.795 5.781 0.000
0.000 0.000 11.373
La Ni P
2 10 6
Direct
0.162 0.838 0.750
0.838 0.162 0.250
0.000 0.000 0.000
0.000 0.000 0.500
0.198 0.802 0.068
0.198 0.802 0.432
0.449 0.551 0.645
0.449 0.551 0.855
0.551 0.449 0.145
0.551 0.449 0.355
0.802 0.198 0.568
0.802 0.198 0.932
0.116 0.884 0.250
0.382 0.618 0.039
0.382 0.618 0.461
0.618 0.382 0.539
0.618 0.382 0.961
0.884 0.116 0.750
```

Summary:
* ρ: 7.39 g/cm³
* DOS(E_F): 11.27 states/eV per cell
* space group: Cmcm (63)
* energy of formation from the pure elements: -0.85 eV/atom

(7)
LaNi2P | SCAN | single point on PBEsol structure

Cell and atoms, written as POSCAR:
```
LaNi2P
1.0
4.144 0.000 0.000
0.000 4.144 0.000
0.000 0.000 7.601
La Ni P
2 4 2
Direct
0.000 0.000 0.000
0.500 0.500 0.500
0.000 0.000 0.500
0.000 0.500 0.250
0.500 0.000 0.750
0.500 0.500 0.000
0.000 0.500 0.750
0.500 0.000 0.250
```

Summary:
* ρ: 7.31 g/cm³
* DOS(E_F): 5.77 states/eV per cell
* space group: I-4m2 (119)
* energy of formation from the pure elements: -0.05 eV/atom

(8)
La6Ni6P17 | SCAN | single point on PBEsol structure

Cell and atoms, written as POSCAR:
```
La6Ni6P17
1.0
-5.033 5.033 5.033
5.033 -5.033 5.033
5.033 5.033 -5.033
La Ni P
6 6 17
Direct
0.000 0.290 0.290
0.000 0.710 0.710
0.290 0.000 0.290
0.290 0.290 0.000
0.710 0.000 0.710
0.710 0.710 0.000
0.250 0.500 0.750
0.250 0.750 0.500
0.500 0.250 0.750
0.500 0.750 0.250
0.750 0.250 0.500
0.750 0.500 0.250
0.000 0.000 0.000
0.000 0.000 0.424
0.000 0.233 0.634
0.000 0.424 0.000
0.000 0.634 0.233
0.233 0.000 0.634
0.233 0.634 0.000
0.366 0.366 0.599
0.366 0.599 0.366
0.401 0.767 0.767
0.424 0.000 0.000
0.576 0.576 0.576
0.599 0.366 0.366
0.634 0.000 0.233
0.634 0.233 0.000
0.767 0.401 0.767
0.767 0.767 0.401
```

Summary:
* ρ: 5.57 g/cm³
* DOS(E_F): 5.75 states/eV per cell
* space group: I-43m (217)
* energy of formation from the pure elements: -1.03 eV/atom

(9)
LaNi2P | SCAN | single point on PBEsol structure

Cell and atoms, written as POSCAR:
```
LaNi2P
1.0
3.780 0.000 0.000
0.000 3.780 0.000
0.000 0.000 4.807
La Ni P
1 2 1
Direct
0.000 0.000 0.000
0.000 0.500 0.468
0.500 0.000 0.468
0.500 0.500 0.687
```

Summary:
* ρ: 6.95 g/cm³
* DOS(E_F): 3.49 states/eV per cell
* space group: P4mm (99)
* energy of formation from the pure elements: -0.65 eV/atom

(10)
LaNiP2 | SCAN | single point on PBEsol structure

Cell and atoms, written as POSCAR:
```
LaNiP2
1.0
3.963 0.000 0.000
-1.982 3.432 0.000
0.000 0.000 15.067
La Ni P
3 3 6
Direct
0.000 0.000 0.000
0.333 0.667 0.667
0.667 0.333 0.333
0.000 0.000 0.500
0.333 0.667 0.167
0.667 0.333 0.833
0.000 0.000 0.207
0.000 0.000 0.793
0.333 0.667 0.459
0.333 0.667 0.874
0.667 0.333 0.126
0.667 0.333 0.541
```

Summary:
* ρ: 6.31 g/cm³
* DOS(E_F): 8.65 states/eV per cell
* space group: R-3m (166)
* energy of formation from the pure elements: -0.85 eV/atom

(11)
LaNiP2 | SCAN | single point on PBEsol structure

Cell and atoms, written as POSCAR:
```
LaNiP2
1.0
3.855 0.000 0.000
0.000 4.143 0.000
0.000 0.000 9.189
La Ni P
2 2 4
Direct
0.000 0.000 0.000
0.500 0.500 0.500
0.000 0.500 0.758
0.500 0.000 0.258
0.000 0.000 0.365
0.000 0.500 0.241
0.500 0.000 0.741
0.500 0.500 0.865
```

Summary:
* ρ: 5.87 g/cm³
* DOS(E_F): 4.81 states/eV per cell
* space group: Imm2 (44)
* energy of formation from the pure elements: -0.57 eV/atom

(12)
La2NiP | SCAN | single point on PBEsol structure

Cell and atoms, written as POSCAR:
```
La2NiP
1.0
4.036 0.000 0.000
0.000 4.103 0.000
0.000 0.000 10.711
La Ni P
4 2 2
Direct
0.000 0.000 0.000
0.000 0.500 0.500
0.500 0.000 0.288
0.500 0.500 0.788
0.500 0.000 0.595
0.500 0.500 0.095
0.000 0.000 0.708
0.000 0.500 0.208
```

Summary:
* ρ: 6.88 g/cm³
* DOS(E_F): 5.55 states/eV per cell
* space group: Amm2 (38)
* energy of formation from the pure elements: -0.94 eV/atom